(1)
Hf2Ge2Ru: relaxed, GGA-PBE.

Summary:
For the formation energy, the calculation gives -528 meV per atom. As for the calculated total energy: -82.1 eV/cell. The value obtained for the theoretical density is 11.16 g/cm3. The value obtained for the density of states at the Fermi level is 0.486 states/eV/atom.

abc: 4.283 5.673 7.696
angles: 90.00 106.15 90.00
Fractional coordinates of all 10 atoms:
1 Ge 0.179 0.445 0.357
2 Ge 0.821 0.945 0.643
3 Ge 0.423 0.484 0.845
4 Ge 0.577 0.984 0.155
5 Ru 0.600 0.532 0.201
6 Ru 0.400 0.032 0.799
7 Hf 0.201 0.940 0.403
8 Hf 0.001 0.234 0.001
9 Hf 0.999 0.734 0.999
10 Hf 0.799 0.440 0.597



(2)
Hf2Ge2Ru: relaxed, GGA-PBE.

Summary:
For the formation energy, the calculation gives -216 meV per atom. As for the calculated total energy: -39.5 eV/cell. The value obtained for the theoretical density is 10.80 g/cm3. The value obtained for the density of states at the Fermi level is 0.570 states/eV/atom.

abc: 3.450 3.450 8.164
angles: 77.80 77.80 90.00
Fractional coordinates of all 5 atoms:
1 Ru 0.000 0.000 0.000
2 Hf 0.398 0.398 0.203
3 Hf 0.602 0.602 0.797
4 Ge 0.750 0.250 0.500
5 Ge 0.250 0.750 0.500



(3)
Hf2Ge2Ru: relaxed, GGA-PBE.

Summary:
For the formation energy, the calculation gives -682 meV per atom. As for the calculated total energy: -167.3 eV/cell. The value obtained for the theoretical density is 11.58 g/cm3. The value obtained for the density of states at the Fermi level is 0.426 states/eV/atom.

abc: 6.468 6.468 8.273
angles: 90.00 90.00 90.00
Fractional coordinates of all 20 atoms:
1 Hf 0.172 0.672 0.000
2 Hf 0.828 0.328 0.500
3 Hf 0.328 0.172 0.500
4 Hf 0.672 0.828 0.500
5 Hf 0.828 0.328 0.000
6 Hf 0.172 0.672 0.500
7 Hf 0.328 0.172 0.000
8 Hf 0.672 0.828 0.000
9 Ge 0.138 0.362 0.750
10 Ge 0.638 0.138 0.250
11 Ge 0.862 0.638 0.750
12 Ge 0.138 0.362 0.250
13 Ge 0.862 0.638 0.250
14 Ge 0.362 0.862 0.250
15 Ge 0.362 0.862 0.750
16 Ge 0.638 0.138 0.750
17 Ru 0.500 0.500 0.250
18 Ru 0.000 0.000 0.250
19 Ru 0.500 0.500 0.750
20 Ru 0.000 0.000 0.750



(4)
HfGeRu: relaxed, GGA-PBE.

Summary:
For the formation energy, the calculation gives -455 meV per atom. As for the calculated total energy: -25.2 eV/cell. The value obtained for the theoretical density is 11.78 g/cm3. The value obtained for the density of states at the Fermi level is 0.630 states/eV/atom.

abc: 3.116 3.116 5.568
angles: 106.25 106.25 90.00
Fractional coordinates of all 3 atoms:
1 Ru 0.937 0.937 0.874
2 Hf 0.610 0.610 0.220
3 Ge 0.303 0.303 0.606



(5)
HfTi2GeRu: relaxed, GGA-PBE.

Summary:
For the formation energy, the calculation gives 1511 meV per atom. As for the calculated total energy: -32.1 eV/cell. The value obtained for the theoretical density is 5.93 g/cm3. The value obtained for the density of states at the Fermi level is 1.395 states/eV/atom.

abc: 4.965 5.091 4.965
angles: 90.00 90.00 90.00
Site moments in Bohr magnetons follow the coordinates.
Fractional coordinates of all 5 atoms:
1 Ti 0.000 0.000 0.500  -0.22
2 Ti 0.500 0.000 0.000  -0.34
3 Ge 0.000 0.500 0.000  -0.01
4 Ru 0.500 0.500 0.500  1.87
5 Hf 0.000 0.000 0.000  -0.01



(6)
Hf2V2GeRu5: relaxed, GGA-PBE.

Summary:
For the formation energy, the calculation gives -274 meV per atom. As for the calculated total energy: -183.8 eV/cell. The value obtained for the theoretical density is 11.00 g/cm3. The value obtained for the density of states at the Fermi level is 0.599 states/eV/atom.

abc: 3.099 10.052 10.052
angles: 90.00 90.00 90.00
Fractional coordinates of all 20 atoms:
1 Ru 0.500 0.801 0.948
2 Ru 0.500 0.199 0.052
3 Ru 0.500 0.500 0.000
4 Ru 0.500 0.948 0.199
5 Ru 0.500 0.552 0.699
6 Ru 0.500 0.301 0.552
7 Ru 0.500 0.448 0.301
8 Ru 0.500 0.000 0.500
9 Ru 0.500 0.699 0.448
10 Ru 0.500 0.052 0.801
11 Hf 0.000 0.673 0.173
12 Hf 0.000 0.827 0.673
13 Hf 0.000 0.327 0.827
14 Hf 0.000 0.173 0.327
15 V 0.000 0.865 0.365
16 V 0.000 0.635 0.865
17 V 0.000 0.135 0.635
18 V 0.000 0.365 0.135
19 Ge 0.000 0.000 0.000
20 Ge 0.000 0.500 0.500



(7)
HfGeS: relaxed, GGA-PBE.

Summary:
For the distance to the lowest polymorph of the same formula, the calculation gives 244 meV/atom. As for the calculated total energy: -84.5 eV/cell. The value obtained for the theoretical density is 7.97 g/cm3. The value obtained for the density of states at the Fermi level is 0.334 states/eV/atom.

abc: 4.675 7.919 6.763
angles: 109.49 90.00 90.00
Fractional coordinates of all 12 atoms:
1 Hf 0.607 0.178 0.746
2 Hf 0.893 0.178 0.246
3 Hf 0.107 0.822 0.754
4 Hf 0.393 0.822 0.254
5 Ge 0.940 0.446 0.658
6 Ge 0.060 0.554 0.342
7 Ge 0.440 0.554 0.842
8 Ge 0.560 0.446 0.158
9 S 0.398 0.162 0.391
10 S 0.102 0.162 0.891
11 S 0.898 0.838 0.109
12 S 0.602 0.838 0.609



(8)
Hf4Ge2S: relaxed, GGA-PBE.

Summary:
As for the calculated total energy: -54.8 eV/cell. The value obtained for the theoretical density is 9.91 g/cm3. The value obtained for the density of states at the Fermi level is 0.859 states/eV/atom.

abc: 4.555 4.555 7.885
angles: 73.21 73.21 90.00
Fractional coordinates of all 7 atoms:
1 Ge 0.362 0.362 0.276
2 Ge 0.638 0.638 0.724
3 Hf 0.000 0.500 0.000
4 Hf 0.175 0.175 0.650
5 Hf 0.825 0.825 0.350
6 Hf 0.500 0.000 0.000
7 S 0.000 0.000 0.000



(9)
HfGeS2: relaxed, GGA-PBE.

Summary:
As for the calculated total energy: -26.5 eV/cell. The value obtained for the theoretical density is 5.91 g/cm3. The value obtained for the density of states at the Fermi level is 0.481 states/eV/atom.

abc: 8.682 8.682 8.682
angles: 23.13 23.13 23.13
Fractional coordinates of all 4 atoms:
1 Hf 0.500 0.500 0.500
2 Ge 0.000 0.000 0.000
3 S 0.105 0.105 0.105
4 S 0.895 0.895 0.895



(10)
Hf2GeS6: relaxed, GGA-PBE.

Summary:
As for the calculated total energy: -115.5 eV/cell. The value obtained for the theoretical density is 5.23 g/cm3. The value obtained for the density of states at the Fermi level is 0.264 states/eV/atom.

abc: 5.956 5.956 11.126
angles: 90.00 90.00 90.00
Fractional coordinates of all 18 atoms:
1 S 0.808 0.192 0.664
2 S 0.308 0.308 0.164
3 S 0.192 0.808 0.336
4 S 0.703 0.703 0.500
5 S 0.692 0.692 0.836
6 S 0.808 0.192 0.336
7 S 0.308 0.308 0.836
8 S 0.203 0.797 0.000
9 S 0.692 0.692 0.164
10 S 0.192 0.808 0.664
11 S 0.297 0.297 0.500
12 S 0.797 0.203 0.000
13 Hf 0.500 0.500 0.338
14 Hf 0.500 0.500 0.662
15 Hf 0.000 0.000 0.162
16 Hf 0.000 0.000 0.838
17 Ge 0.500 0.500 0.000
18 Ge 0.000 0.000 0.500



(11)
HfGeS: relaxed, GGA-PBE.

Summary:
For the distance to the lowest polymorph of the same formula, the calculation gives 74 meV/atom. As for the calculated total energy: -43.3 eV/cell. The value obtained for the theoretical density is 8.90 g/cm3. The value obtained for the density of states at the Fermi level is 0.467 states/eV/atom.

abc: 3.636 3.636 8.396
angles: 102.51 102.51 90.00
Fractional coordinates of all 6 atoms:
1 Hf 0.361 0.361 0.721
2 Hf 0.639 0.639 0.279
3 Ge 0.500 0.000 0.000
4 Ge 0.000 0.500 0.000
5 S 0.809 0.809 0.618
6 S 0.191 0.191 0.382



(12)
Hf2GeS: relaxed, GGA-PBE.

Summary:
For the distance to the lowest polymorph of the same formula, the calculation gives 587 meV/atom. As for the calculated total energy: -59.8 eV/cell. The value obtained for the theoretical density is 7.60 g/cm3. The value obtained for the density of states at the Fermi level is 0.615 states/eV/atom.

abc: 5.832 5.832 7.222
angles: 66.19 66.19 90.00
Fractional coordinates of all 8 atoms:
1 Hf 0.875 0.862 0.750
2 Hf 0.138 0.625 0.250
3 Hf 0.612 0.125 0.250
4 Hf 0.375 0.388 0.750
5 S 0.500 0.500 0.000
6 S 0.250 0.750 0.500
7 Ge 0.750 0.250 0.500
8 Ge 0.000 0.000 0.000